A relaxed Ac2ThPb crystal. Source: Alexandria, functional GGA-PBE.

abc: 13.234 13.234 13.234
angles: 15.83 15.83 15.83
Fractional positions:
Ac1 0.092 0.092 0.092
Ac2 0.908 0.908 0.908
Th1 0.000 0.000 0.000
Pb1 0.500 0.500 0.500

Output
* formation energy from the elements: 3.98 kcal/mol of atoms
* magnetization: 0.000 μB/f.u.
* space-group type: No. 166

=====

A relaxed AcTh2Pb crystal. Source: Alexandria, functional GGA-PBE.

abc: 5.077 5.077 5.126
angles: 90.00 90.00 90.00
Fractional positions:
Ac1 0.000 0.000 0.000
Th1 0.000 0.500 0.500
Th2 0.500 0.000 0.500
Pb1 0.500 0.500 0.000

Output
* formation energy from the elements: -2.62 kcal/mol of atoms
* magnetization: 0.000 μB/f.u.
* space-group type: No. 123

=====

A relaxed Ac3ThPb3 crystal. Source: Alexandria, functional GGA-PBE.

abc: 8.302 8.302 8.965
angles: 91.95 91.95 112.61
Fractional positions:
Ac1 0.160 0.840 0.000
Ac2 0.235 0.765 0.500
Ac3 0.408 0.408 0.173
Ac4 0.592 0.592 0.827
Ac5 0.765 0.235 0.500
Ac6 0.840 0.160 0.000
Th1 0.239 0.239 0.597
Th2 0.761 0.761 0.403
Pb1 0.075 0.075 0.281
Pb2 0.123 0.488 0.794
Pb3 0.488 0.123 0.794
Pb4 0.512 0.877 0.206
Pb5 0.877 0.512 0.206
Pb6 0.925 0.925 0.719

Output
* formation energy from the elements: -5.34 kcal/mol of atoms
* magnetization: 0.000 μB/f.u.
* space-group type: No. 12